The following is a DFT calculation (PBE) of an optimized crystal structure of Ca2Sn2Hg7. Values from VASP.

The structure in Quantum ESPRESSO input format:
```
&SYSTEM
  ibrav = 0, nat = 11, ntyp = 3
/
ATOMIC_SPECIES
Ca 40.08 Ca.upf
Sn 118.71 Sn.upf
Hg 200.59 Hg.upf
ATOMIC_POSITIONS crystal
Ca 0.244 0.244 0.000
Ca 0.756 0.756 0.000
Sn 0.254 0.746 0.500
Sn 0.746 0.254 0.500
Hg 0.000 0.000 0.500
Hg 0.000 0.500 0.193
Hg 0.000 0.500 0.807
Hg 0.500 0.000 0.193
Hg 0.500 0.000 0.807
Hg 0.500 0.500 0.307
Hg 0.500 0.500 0.693
CELL_PARAMETERS angstrom
3.790 -5.683 0.000
3.790 5.683 0.000
0.000 0.000 7.795
```

**Energy of formation from the pure elements**: -56 meV/atom
**Symmetry**: No. 65
**Calculated total energy**: -1.34 eV per atom
**N(E_F)**: 5.49 states/eV/cell
**Volume**: 30.5 Å³/atom

=====

The following is a DFT calculation (PBE) of an optimized crystal structure of Cs2ScZnSe. Values from VASP.

The structure in Quantum ESPRESSO input format:
```
&SYSTEM
  ibrav = 0, nat = 5, ntyp = 4
/
ATOMIC_SPECIES
Cs 132.91 Cs.upf
Sc 44.96 Sc.upf
Zn 65.41 Zn.upf
Se 78.96 Se.upf
ATOMIC_POSITIONS crystal
Cs 0.000 0.500 0.000
Cs 0.500 0.000 0.000
Sc 0.000 0.000 0.000
Zn 0.500 0.500 0.500
Se 0.000 0.000 0.500
CELL_PARAMETERS angstrom
7.575 0.000 0.000
0.000 7.575 0.000
0.000 0.000 5.055
```

**Symmetry**: No. 123
**Calculated total energy**: -2.62 eV per atom
**Energy relative to the elements, uncorrected**: -0.33 eV/f.u.
**N(E_F)**: 3.15 states/eV/cell
**Volume**: 58.0 Å³/atom